# 1
Compound: Ag2RhS2
Source: Alexandria
Functional: PBE-GGA
Structure: relaxed

Computed properties:
- ρ (Mg/m³) = 7.08
- energy relative to the lowest polymorph listed for this composition (eV/f.u.) = 2.66
- formation energy from raw total energies (eV/atom) = 0.5780

Lattice parameters (Å, degrees): 3.6542 3.6542 13.4506 90.00 90.00 90.00
Closest atoms and distances in Å follow each position.
Space group I4/mmm (No. 139)
Inequivalent atoms, fractional coordinates:
1 Ag 0.0000 0.5000 0.2500  4 Ag 2.58, 4 S 2.77
2 Rh 0.0000 0.0000 0.0000  8 S 2.88
3 S 0.0000 0.0000 0.4051  1 S 2.55, 4 Ag 2.77


# 2
Compound: ScAgSn2
Source: Alexandria
Functional: PBE-GGA
Structure: relaxed

Computed properties:
- ρ (Mg/m³) = 7.36
- ΔE_f (meV/atom) = -346.1
- energy relative to the lowest polymorph listed for this composition (eV/f.u.) = 0.00

Lattice parameters (Å, degrees): 4.5811 4.5811 4.1949 90.00 90.00 90.00
Closest atoms and distances in Å follow each position.
Space group P4/mmm (No. 123)
Inequivalent atoms, fractional coordinates:
1 Sc 0.0000 0.0000 0.0000  8 Sn 3.11, 4 Ag 3.24
2 Ag 0.5000 0.5000 0.0000  8 Sn 3.11, 4 Sc 3.24
3 Sn 0.0000 0.5000 0.5000  4 Sc 3.11, 4 Ag 3.11, 4 Sn 3.24


# 3
Compound: SrIr2Rh2
Source: Alexandria
Functional: PBE-GGA
Structure: relaxed

Computed properties:
- ρ (Mg/m³) = 13.03
- ΔE_f (meV/atom) = 45.8
- energy relative to the lowest polymorph listed for this composition (eV/f.u.) = 0.10

Lattice parameters (Å, degrees): 7.8555 7.8555 2.7993 90.00 90.00 90.00
Closest atoms and distances in Å follow each position.
Space group P4/mbm (No. 127)
Inequivalent atoms, fractional coordinates:
1 Sr 0.0000 0.0000 0.0000  2 Sr 2.80
2 Ir 0.1175 0.3825 0.0000  3 Ir 2.61-2.80, 6 Rh 2.64-2.77
3 Rh 0.1809 0.6809 0.5000  6 Ir 2.64-2.77, 2 Rh 2.80


# 4
Compound: TiVSb4
Source: Alexandria
Functional: PBE-GGA
Structure: relaxed

Computed properties:
- ρ (Mg/m³) = 7.17
- formation energy from raw total energies (eV/atom) = -0.0279

Lattice parameters (Å, degrees): 6.0965 3.4075 6.5366 90.00 90.99 90.00
Closest atoms and distances in Å follow each position.
Space group P2/m (No. 10)
Inequivalent atoms, fractional coordinates:
1 Ti 0.0000 0.0000 0.0000  6 Sb 2.78-2.80
2 V 0.5000 0.5000 0.0000  6 Sb 2.73-2.75
3 Sb 0.1732 0.5000 0.7043  1 V 2.75, 2 Ti 2.80
4 Sb 0.3401 0.0000 0.2881  2 V 2.73, 1 Ti 2.78


Which value of ρ does entry 3 give?
13.03 Mg/m³


Look up the ρ of the fourth one.
7.17 Mg/m³